1.
Compound: Ta2CuRu
Source: Alexandria via LeMat-Bulk
Functional: PBEsol
Structure: optimized geometry

## Properties
energy of formation from the pure elements: -0.06 eV per atom
volume: 15.03 A^3/atom
total magnetic moment: 0.0 Bohr magnetons per cell

Geometry as POSCAR:
```
Ta2CuRu
1.0
2.998 0.000 0.000
0.000 3.601 0.000
0.000 0.000 5.569
Ta Cu Ru
2 1 1
Direct
0.000 0.000 0.750
0.000 0.000 0.250
0.500 0.500 0.000
0.500 0.500 0.500
```

2.
Compound: Tl2TePbS
Source: Alexandria via LeMat-Bulk
Functional: PBEsol
Structure: optimized geometry

## Properties
volume: 39.12 A^3/atom
total magnetic moment: 0.8 Bohr magnetons per cell
energy relative to the elements, uncorrected: 14.9 kcal/mol of atoms

Geometry as POSCAR:
```
Tl2TePbS
1.0
-4.326 -2.573 2.523
3.453 -1.296 4.598
-1.520 5.080 2.574
Te Pb Tl S
1 1 2 1
Direct
0.500 0.000 0.000
0.000 0.000 0.000
0.000 0.000 0.500
0.000 0.500 0.000
0.500 0.500 0.500
```

3.
Compound: BeHgW2
Source: Alexandria via LeMat-Bulk
Functional: PBEsol
Structure: optimized geometry

## Properties
energy of formation from the pure elements: 0.55 eV per atom
volume: 14.92 A^3/atom
total magnetic moment: 0.0 Bohr magnetons per cell
energy above the lowest structure with this stoichiometry: 0.043 eV per atom

Geometry as POSCAR:
```
BeHgW2
1.0
-0.003 0.545 2.952
-2.681 -1.329 0.243
2.980 -5.813 1.076
W Hg Be
2 1 1
Direct
0.000 0.000 0.812
0.000 0.000 0.188
0.500 0.500 0.500
0.500 0.500 0.000
```

4.
Compound: TcP2Pt
Source: Alexandria via LeMat-Bulk
Functional: PBEsol
Structure: optimized geometry

## Properties
energy of formation from the pure elements: -0.21 eV per atom
volume: 18.09 A^3/atom
total magnetic moment: 0.0 Bohr magnetons per cell
energy above the lowest structure with this stoichiometry: 0.000 eV per atom

Geometry as POSCAR:
```
TcP2Pt
1.0
5.251 0.000 0.000
0.000 5.251 0.000
-2.626 -2.626 5.250
P Pt Tc
4 2 2
Direct
0.125 0.133 0.750
0.383 0.875 0.250
0.625 0.617 0.750
0.867 0.375 0.250
0.250 0.750 0.500
0.000 0.000 0.000
0.750 0.250 0.500
0.500 0.500 0.000
```

5.
Compound: ZnAg2Sb
Source: Alexandria via LeMat-Bulk
Functional: PBEsol
Structure: optimized geometry

## Properties
volume: 18.44 A^3/atom
total magnetic moment: 0.0 Bohr magnetons per cell
energy relative to the elements, uncorrected: 1.8 kcal/mol of atoms
energy above the lowest structure with this stoichiometry: 0.000 eV per atom

Geometry as POSCAR:
```
ZnAg2Sb
1.0
3.052 0.000 -0.392
0.000 3.603 0.000
-2.168 0.000 6.985
Sb Ag Zn
1 2 1
Direct
0.500 0.500 0.000
0.708 0.000 0.709
0.292 0.000 0.291
0.000 0.500 0.500
```

6.
Compound: AlCuSe
Source: Alexandria via LeMat-Bulk
Functional: PBEsol
Structure: optimized geometry

## Properties
volume: 15.87 A^3/atom
total magnetic moment: 0.0 Bohr magnetons per cell
energy relative to the elements, uncorrected: 1.4 kcal/mol of atoms
energy above the lowest structure with this stoichiometry: 0.000 eV per atom

Geometry as POSCAR:
```
AlCuSe
1.0
3.415 0.000 0.000
0.000 3.415 0.000
-1.707 -1.707 4.084
Cu Se Al
1 1 1
Direct
0.346 0.346 0.692
0.656 0.656 0.312
0.998 0.998 0.995
```

7.
Compound: Sr2FeRh
Source: Alexandria via LeMat-Bulk
Functional: PBEsol
Structure: optimized geometry

## Properties
energy of formation from the pure elements: 0.73 eV per atom
volume: 24.67 A^3/atom
total magnetic moment: 2.6 Bohr magnetons per cell

Geometry as POSCAR:
```
Sr2FeRh
1.0
3.566 0.000 0.000
1.783 3.088 0.000
1.783 1.029 8.963
Sr Fe Rh
2 1 1
Direct
0.743 0.743 0.770
0.257 0.257 0.230
0.500 0.500 0.500
0.000 0.000 0.000
```

8.
Compound: Li2ZnCr2
Source: Alexandria via LeMat-Bulk
Functional: PBEsol
Structure: optimized geometry

## Properties
energy of formation from the pure elements: 0.54 eV per atom
volume: 14.52 A^3/atom
total magnetic moment: 0.0 Bohr magnetons per cell

Geometry as POSCAR:
```
Li2ZnCr2
1.0
3.095 0.000 0.000
0.000 3.095 0.000
-1.548 -1.548 7.576
Zn Cr Li
1 2 2
Direct
0.000 0.000 0.000
0.750 0.250 0.500
0.250 0.750 0.500
0.403 0.403 0.805
0.597 0.597 0.195
```